Crystalline RbMn2H8 at its relaxed geometry, computed with PBE.

Properties
The space group is P31m (157). Its total energy is -4.15 eV/atom.

Unit cell a=5.9596 b=4.4433 c=4.4433 alpha=119.98 beta=90.01 gamma=90.01
Last column: nearest neighbours and their distance in Å.
Fractional positions:
H  0.3921  0.5655  0.9967  2 Mn 1.70
H  0.6512  0.2779  0.9970  2 Mn 1.68
H  0.8312  0.3302  0.6637  1 Mn 1.55
Rb  0.0657  0.9971  0.9971  12 H 2.73-2.92
H  0.3921  0.9967  0.5655  2 Mn 1.70
H  0.8312  0.6637  0.3302  1 Mn 1.55
H  0.6515  0.7157  0.7157  2 Mn 1.68
Mn  0.5710  0.6635  0.3302  7 H 1.55-1.70
H  0.3920  0.4286  0.4286  2 Mn 1.70
Mn  0.5710  0.3302  0.6635  7 H 1.55-1.70
H  0.6512  0.9970  0.2779  2 Mn 1.68


Crystalline Rb3MnH at its relaxed geometry, computed with PBE.

Properties
The space group is Pm-3m (221). The calculation puts the excess energy over the best structure of this formula in the dataset at 0 kJ/mol of formula units.

Unit cell a=5.9510 b=5.9510 c=5.9510 alpha=90.00 beta=90.00 gamma=90.00
Last column: nearest neighbours and their distance in Å.
Fractional positions:
Rb  0.0000  0.5000  0.0000  2 H 2.98
Rb  0.0000  0.0000  0.5000  2 H 2.98
H  0.0000  0.0000  0.0000  6 Rb 2.98
Mn  0.5000  0.5000  0.5000  12 Rb 4.21
Rb  0.5000  0.0000  0.0000  2 H 2.98


Crystalline Rb3Mn5H12 at its relaxed geometry, computed with PBE.

Properties
The space group is Ia-3d (230). Its total energy is -4.20 eV/atom.

Unit cell a=11.0017 b=11.0017 c=11.0017 alpha=109.47 beta=109.47 gamma=109.47
Last column: nearest neighbours and their distance in Å.
Fractional positions:
Rb  0.2500  0.6250  0.8750  8 H 2.66-2.83
H  0.8993  0.8225  0.4868  2 Mn 1.82-1.85
H  0.1775  0.0768  0.6642  2 Mn 1.82-1.85
H  0.6007  0.0132  0.6775  2 Mn 1.82-1.85
Mn  0.1250  0.3750  0.2500  4 H 1.85
H  0.6642  0.0874  0.9868  2 Mn 1.82-1.85
Rb  0.1250  0.2500  0.8750  8 H 2.66-2.83
H  0.0132  0.4126  0.3358  2 Mn 1.82-1.85
H  0.5132  0.8358  0.9126  2 Mn 1.82-1.85
Mn  0.3750  0.1250  0.7500  4 H 1.85
H  0.9868  0.3993  0.8225  2 Mn 1.82-1.85
H  0.5874  0.6007  0.9232  2 Mn 1.82-1.85
H  0.6775  0.5132  0.6007  2 Mn 1.82-1.85
H  0.9232  0.1007  0.5874  2 Mn 1.82-1.85
Rb  0.7500  0.8750  0.6250  8 H 2.66-2.83
H  0.5132  0.6775  0.1007  2 Mn 1.82-1.85
H  0.4126  0.0132  0.8358  2 Mn 1.82-1.85
H  0.0874  0.6642  0.4868  2 Mn 1.82-1.85
H  0.4232  0.0874  0.6007  2 Mn 1.82-1.85
H  0.3225  0.4868  0.3993  2 Mn 1.82-1.85
Rb  0.3750  0.7500  0.6250  8 H 2.66-2.83
H  0.3225  0.8358  0.4232  2 Mn 1.82-1.85
H  0.3993  0.4126  0.5768  2 Mn 1.82-1.85
H  0.5874  0.9868  0.1642  2 Mn 1.82-1.85
H  0.4232  0.3358  0.3225  2 Mn 1.82-1.85
Rb  0.6250  0.2500  0.3750  8 H 2.66-2.83
Rb  0.3750  0.6250  0.2500  8 H 2.66-2.83
Mn  0.0000  0.5000  0.0000  6 H 1.82
H  0.8358  0.3225  0.9232  2 Mn 1.82-1.85
Rb  0.8750  0.7500  0.1250  8 H 2.66-2.83
H  0.1007  0.1775  0.5132  2 Mn 1.82-1.85
Mn  0.7500  0.6250  0.3750  4 H 1.85
Mn  0.6250  0.7500  0.8750  4 H 1.85
H  0.1007  0.9232  0.0874  2 Mn 1.82-1.85
H  0.3993  0.9868  0.3225  2 Mn 1.82-1.85
Rb  0.8750  0.1250  0.2500  8 H 2.66-2.83
H  0.6775  0.1642  0.5768  2 Mn 1.82-1.85
H  0.9232  0.8225  0.8358  2 Mn 1.82-1.85
H  0.6642  0.5768  0.1775  2 Mn 1.82-1.85
H  0.8225  0.9232  0.3358  2 Mn 1.82-1.85
Mn  0.5000  0.0000  0.0000  6 H 1.82
Mn  0.2500  0.3750  0.6250  4 H 1.85
Mn  0.3750  0.2500  0.1250  4 H 1.85
H  0.0768  0.8993  0.4126  2 Mn 1.82-1.85
Mn  0.1250  0.7500  0.3750  4 H 1.85
Rb  0.6250  0.3750  0.7500  8 H 2.66-2.83
H  0.9126  0.3358  0.5132  2 Mn 1.82-1.85
H  0.3358  0.9126  0.0132  2 Mn 1.82-1.85
H  0.8993  0.0768  0.9126  2 Mn 1.82-1.85
H  0.1775  0.1007  0.0132  2 Mn 1.82-1.85
Mn  0.7500  0.1250  0.8750  4 H 1.85
H  0.8358  0.5132  0.4126  2 Mn 1.82-1.85
H  0.0132  0.6007  0.1775  2 Mn 1.82-1.85
H  0.5768  0.9126  0.3993  2 Mn 1.82-1.85
H  0.0768  0.1775  0.1642  2 Mn 1.82-1.85
H  0.9868  0.5874  0.6642  2 Mn 1.82-1.85
H  0.6007  0.5874  0.4232  2 Mn 1.82-1.85
Mn  0.2500  0.8750  0.1250  4 H 1.85
Mn  0.5000  0.5000  0.5000  6 H 1.82
Mn  0.0000  0.5000  0.5000  6 H 1.82
H  0.1642  0.6775  0.0768  2 Mn 1.82-1.85
H  0.3358  0.4232  0.8225  2 Mn 1.82-1.85
Rb  0.2500  0.1250  0.3750  8 H 2.66-2.83
H  0.4126  0.3993  0.0768  2 Mn 1.82-1.85
Mn  0.8750  0.2500  0.6250  4 H 1.85
Mn  0.0000  0.0000  0.5000  6 H 1.82
Mn  0.8750  0.6250  0.7500  4 H 1.85
H  0.8225  0.8993  0.9868  2 Mn 1.82-1.85
H  0.9126  0.5768  0.8993  2 Mn 1.82-1.85
H  0.4868  0.1642  0.0874  2 Mn 1.82-1.85
Mn  0.6250  0.8750  0.2500  4 H 1.85
H  0.0874  0.4232  0.1007  2 Mn 1.82-1.85
H  0.4868  0.3225  0.8993  2 Mn 1.82-1.85
Mn  0.0000  0.0000  0.0000  6 H 1.82
Rb  0.1250  0.8750  0.7500  8 H 2.66-2.83
Mn  0.5000  0.0000  0.5000  6 H 1.82
Rb  0.7500  0.3750  0.1250  8 H 2.66-2.83
H  0.1642  0.4868  0.5874  2 Mn 1.82-1.85
H  0.5768  0.6642  0.6775  2 Mn 1.82-1.85
Mn  0.5000  0.5000  0.0000  6 H 1.82


Crystalline Rb2MnH5 at its relaxed geometry, computed with PBE.

Properties
The space group is P4/mmm (123). The calculation puts the excess energy over the best structure of this formula in the dataset at 0 kJ/mol of formula units.

Unit cell a=3.7829 b=6.1218 c=6.1218 alpha=90.00 beta=90.00 gamma=90.00
Last column: nearest neighbours and their distance in Å.
Fractional positions:
H  0.0000  0.1949  0.8051  1 Mn 1.69
H  0.0000  0.8051  0.1949  1 Mn 1.69
H  0.0000  0.8051  0.8051  1 Mn 1.69
Rb  0.5000  0.0000  0.5000  10 H 2.91-3.06
H  0.5000  0.0000  0.0000  2 Mn 1.89
H  0.0000  0.1949  0.1949  1 Mn 1.69
Mn  0.0000  0.0000  0.0000  4 H 1.69
Rb  0.5000  0.5000  0.0000  10 H 2.91-3.06